DFT (PBE+U) results for a geometry-optimized Fe2HgAuO structure.

Cell: 5.2474 5.2474 4.0988 Å, 90.00 90.00 90.00°
Last column: nearest neighbours and their distance in Å.
Space group P4/mmm (No. 123)
Asymmetric unit:
1 Fe 0.0000 0.5000 0.0000 (multiplicity 2)  2 Hg 2.62
2 Hg 0.0000 0.0000 0.0000 (multiplicity 1)  2 O 2.05
3 Au 0.5000 0.5000 0.5000 (multiplicity 1)  8 Fe 3.33, 4 O 3.71
4 O 0.0000 0.0000 0.5000 (multiplicity 1)  2 Hg 2.05

## Properties
The calculation puts the size of the total moment at 1.603 μB/atom. As for the total energy: -2.989 eV/atom.